1.
VASP calculation (PBE) on a relaxed structure of YOs3.

## Properties
* theoretical density: 16.4 g/cm³
* formation energy from the elements: 0.48 eV/atom
* total magnetization: 0.0 μB per formula unit
* Fermi-level density of states: 5.23 states/eV per cell

Cell and atoms, written as CIF:
```
data_YOs3
_symmetry_space_group_name_H-M 'P 4/m m m'
_symmetry_Int_Tables_number 123
_symmetry_space_group_name_Hall '-P 4 2'
_cell_length_a 4.692
_cell_length_b 4.692
_cell_length_c 3.035
_cell_angle_alpha 90.00
_cell_angle_beta 90.00
_cell_angle_gamma 90.00
loop_
_atom_site_label
_atom_site_fract_x
_atom_site_fract_y
_atom_site_fract_z
Y1 0.000 0.000 0.000
Os1 0.000 0.500 0.500
Os2 0.500 0.500 0.000
```

2.
VASP calculation (PBE) on a relaxed structure of Y2Os.

## Properties
* theoretical density: 7.0 g/cm³
* formation energy from the elements: 0.09 eV/atom
* total magnetization: 0.0 μB per formula unit
* Fermi-level density of states: 1.21 states/eV per cell

Cell and atoms, written as CIF:
```
data_Y2Os
_symmetry_space_group_name_H-M 'P -3 m 1'
_symmetry_Int_Tables_number 164
_symmetry_space_group_name_Hall '-P 3 2"'
_cell_length_a 4.1280
_cell_length_b 4.1280
_cell_length_c 5.8902
_cell_angle_alpha 90.00
_cell_angle_beta 90.00
_cell_angle_gamma 120.00
loop_
_atom_site_label
_atom_site_fract_x
_atom_site_fract_y
_atom_site_fract_z
Y1 0.3333 0.6667 0.2368
Os1 0.0000 0.0000 0.0000
```

3.
VASP calculation (PBE) on a relaxed structure of YOs3.

## Properties
* theoretical density: 16.6 g/cm³
* formation energy from the elements: 0.39 eV/atom
* total magnetization: 0.0 μB per formula unit
* Fermi-level density of states: 7.22 states/eV per cell

Cell and atoms, written as CIF:
```
data_YOs3
_symmetry_space_group_name_H-M 'C m m m'
_symmetry_Int_Tables_number 65
_symmetry_space_group_name_Hall '-C 2 2'
_cell_length_a 5.760
_cell_length_b 8.013
_cell_length_c 2.858
_cell_angle_alpha 90.00
_cell_angle_beta 90.00
_cell_angle_gamma 90.00
loop_
_atom_site_label
_atom_site_fract_x
_atom_site_fract_y
_atom_site_fract_z
Y1 0.000 0.000 0.000
Os1 0.000 0.500 0.000
Os2 0.250 0.250 0.500
```

4.
VASP calculation (PBE) on a relaxed structure of Y4Os5.

## Properties
* energy above the most stable polymorph in this dataset: 0 meV per atom
* theoretical density: 12.2 g/cm³
* formation energy from the elements: 0.34 eV/atom
* total magnetization: 0.0 μB per formula unit
* Fermi-level density of states: 12.56 states/eV per cell

Cell and atoms, written as CIF:
```
data_Y4Os5
_symmetry_space_group_name_H-M 'I 4/m m m'
_symmetry_Int_Tables_number 139
_symmetry_space_group_name_Hall '-I 4 2'
_cell_length_a 10.504
_cell_length_b 10.504
_cell_length_c 3.213
_cell_angle_alpha 90.00
_cell_angle_beta 90.00
_cell_angle_gamma 90.00
loop_
_atom_site_label
_atom_site_fract_x
_atom_site_fract_y
_atom_site_fract_z
Y1 0.000 0.297 0.000
Os1 0.000 0.000 0.000
Os2 0.172 0.172 0.500
```

5.
VASP calculation (PBE) on a relaxed structure of YOs3.

## Properties
* theoretical density: 16.5 g/cm³
* formation energy from the elements: 0.35 eV/atom
* total magnetization: 0.0 μB per formula unit
* Fermi-level density of states: 16.18 states/eV per cell

Cell and atoms, written as CIF:
```
data_YOs3
_symmetry_space_group_name_H-M 'C m c m'
_symmetry_Int_Tables_number 63
_symmetry_space_group_name_Hall '-C 2c 2'
_cell_length_a 5.848
_cell_length_b 9.932
_cell_length_c 4.562
_cell_angle_alpha 90.00
_cell_angle_beta 90.00
_cell_angle_gamma 90.00
loop_
_atom_site_label
_atom_site_fract_x
_atom_site_fract_y
_atom_site_fract_z
Y1 0.000 0.078 0.250
Os1 0.000 0.424 0.750
Os2 0.229 0.321 0.250
```

6.
VASP calculation (PBE) on a relaxed structure of YOs.

## Properties
* theoretical density: 9.8 g/cm³
* formation energy from the elements: -0.16 eV/atom
* total magnetization: 0.0 μB per formula unit
* Fermi-level density of states: 2.39 states/eV per cell

Cell and atoms, written as CIF:
```
data_YOs
_symmetry_space_group_name_H-M 'P 63/m m c'
_symmetry_Int_Tables_number 194
_symmetry_space_group_name_Hall '-P 6c 2c'
_cell_length_a 4.7342
_cell_length_b 4.7342
_cell_length_c 4.8942
_cell_angle_alpha 90.00
_cell_angle_beta 90.00
_cell_angle_gamma 120.00
loop_
_atom_site_label
_atom_site_fract_x
_atom_site_fract_y
_atom_site_fract_z
Y1 0.3333 0.6667 0.2500
Os1 0.0000 0.0000 0.0000
```

7.
VASP calculation (PBE) on a relaxed structure of YOs3.

## Properties
* theoretical density: 15.8 g/cm³
* formation energy from the elements: 0.46 eV/atom
* total magnetization: 0.0 μB per formula unit
* Fermi-level density of states: 5.53 states/eV per cell

Cell and atoms, written as CIF:
```
data_YOs3
_symmetry_space_group_name_H-M 'P 1 2/m 1'
_symmetry_Int_Tables_number 10
_symmetry_space_group_name_Hall '-P 2y'
_cell_length_a 2.883
_cell_length_b 4.537
_cell_length_c 5.411
_cell_angle_alpha 90.00
_cell_angle_beta 102.37
_cell_angle_gamma 90.00
loop_
_atom_site_label
_atom_site_fract_x
_atom_site_fract_y
_atom_site_fract_z
Y1 0.000 0.000 0.000
Os1 0.330 0.500 0.713
Os2 0.500 0.000 0.500
```

8.
VASP calculation (PBE) on a relaxed structure of YOs2.

## Properties
* theoretical density: 12.2 g/cm³
* formation energy from the elements: -0.05 eV/atom
* total magnetization: 0.0 μB per formula unit
* Fermi-level density of states: 9.92 states/eV per cell

Cell and atoms, written as CIF:
```
data_YOs2
_symmetry_space_group_name_H-M 'I 41/a m d'
_symmetry_Int_Tables_number 141
_cell_length_a 4.208
_cell_length_b 4.208
_cell_length_c 14.450
_cell_angle_alpha 90.00
_cell_angle_beta 90.00
_cell_angle_gamma 90.00
loop_
_symmetry_equiv_pos_as_xyz
'x,y,z'
'-x,-y,-z'
'-y+1/4,x+3/4,z+1/4'
'y+1/4,-x+3/4,-z+1/4'
'-x+1/2,-y,z+1/2'
'x+1/2,y,-z+1/2'
'y+1/4,-x+1/4,z+3/4'
'-y+1/4,x+1/4,-z+3/4'
'x,-y,-z'
'-x,y,z'
'-y+1/4,-x+1/4,-z+3/4'
'y+1/4,x+1/4,z+3/4'
'-x+1/2,y,-z+1/2'
'x+1/2,-y,z+1/2'
'y+1/4,x+3/4,-z+1/4'
'-y+1/4,-x+3/4,z+1/4'
'x+1/2,y+1/2,z+1/2'
'-x+1/2,-y+1/2,-z+1/2'
'-y+3/4,x+1/4,z+3/4'
'y+3/4,-x+1/4,-z+3/4'
'-x,-y+1/2,z'
'x,y+1/2,-z'
'y+3/4,-x+3/4,z+1/4'
'-y+3/4,x+3/4,-z+1/4'
'x+1/2,-y+1/2,-z+1/2'
'-x+1/2,y+1/2,z+1/2'
'-y+3/4,-x+3/4,-z+1/4'
'y+3/4,x+3/4,z+1/4'
'-x,y+1/2,-z'
'x,-y+1/2,z'
'y+3/4,x+1/4,-z+3/4'
'-y+3/4,-x+1/4,z+3/4'
loop_
_atom_site_label
_atom_site_fract_x
_atom_site_fract_y
_atom_site_fract_z
Y1 0.000 0.250 0.375
Os1 0.000 0.250 0.792
```

9.
VASP calculation (PBE) on a relaxed structure of YOs2.

## Properties
* theoretical density: 12.2 g/cm³
* formation energy from the elements: 0.39 eV/atom
* total magnetization: 0.0 μB per formula unit
* Fermi-level density of states: 4.47 states/eV per cell

Cell and atoms, written as CIF:
```
data_YOs2
_symmetry_space_group_name_H-M 'P 4/m m m'
_symmetry_Int_Tables_number 123
_symmetry_space_group_name_Hall '-P 4 2'
_cell_length_a 3.621
_cell_length_b 3.621
_cell_length_c 4.855
_cell_angle_alpha 90.00
_cell_angle_beta 90.00
_cell_angle_gamma 90.00
loop_
_atom_site_label
_atom_site_fract_x
_atom_site_fract_y
_atom_site_fract_z
Y1 0.000 0.000 0.000
Os1 0.000 0.500 0.500
```

10.
VASP calculation (PBE) on a relaxed structure of YOs2.

## Properties
* theoretical density: 14.4 g/cm³
* formation energy from the elements: 0.09 eV/atom
* total magnetization: 0.0 μB per formula unit
* Fermi-level density of states: 4.73 states/eV per cell

Cell and atoms, written as CIF:
```
data_YOs2
_symmetry_space_group_name_H-M 'I 4/m m m'
_symmetry_Int_Tables_number 139
_symmetry_space_group_name_Hall '-I 4 2'
_cell_length_a 2.944
_cell_length_b 2.944
_cell_length_c 12.462
_cell_angle_alpha 90.00
_cell_angle_beta 90.00
_cell_angle_gamma 90.00
loop_
_atom_site_label
_atom_site_fract_x
_atom_site_fract_y
_atom_site_fract_z
Y1 0.000 0.000 0.000
Os1 0.000 0.000 0.313
```